The following is a PBE+U calculation of Mg2Fe2O5 after structural relaxation, from Alexandria.

Values from the calculation:
Its energy relative to the lowest polymorph listed for this composition is 0 meV/atom. The calculation puts the uncorrected energy at -6.26 eV/atom. The value obtained for the magnetization is 10.00 μB/f.u.

Cell lengths 13.881, 5.283, 5.375 Å; angles 90.00, 90.00, 90.00 degrees
Space group Ima2 (No. 46)
Unique sites:
1 Mg 0.119 0.004 0.000 x8
2 Fe 0.000 0.000 0.542 x4
3 Fe 0.250 0.023 0.482 x4
4 O 0.048 0.233 0.286 x8
5 O 0.141 0.644 0.120 x8
6 O 0.250 0.134 0.124 x4


The following is a PBE+U calculation of MgFeO2 after structural relaxation, from Alexandria.

Values from the calculation:
The calculation puts the uncorrected energy at -6.20 eV/atom. The value obtained for the magnetization is 4.00 μB/f.u.

Cell lengths 4.605, 4.605, 9.645 Å; angles 90.00, 90.00, 90.00 degrees
Space group I-42d (No. 122)
Unique sites:
1 Mg 0.000 0.000 0.000 x4
2 Fe 0.000 0.000 0.500 x4
3 O 0.240 0.250 0.125 x8


The following is a PBE+U calculation of MgFeO2 after structural relaxation, from Alexandria.

Values from the calculation:
The calculation puts the uncorrected energy at -6.21 eV/atom. The value obtained for the magnetization is 4.00 μB/f.u.

Cell lengths 3.501, 8.175, 8.212 Å; angles 99.40, 90.07, 90.05 degrees
Space group P-1 (No. 2)
Unique sites:
1 Mg 0.248 0.289 0.098 x2
2 Mg 0.249 0.380 0.715 x2
3 Fe 0.253 0.762 0.628 x2
4 Fe 0.254 0.895 0.233 x2
5 O 0.247 0.140 0.274 x2
6 O 0.248 0.204 0.861 x2
7 O 0.252 0.612 0.820 x2
8 O 0.252 0.699 0.387 x2